(1)
First-principles (PBE-GGA) data for an optimized crystal structure of BeC2N, as listed in the Alexandria database.

It has space group Pm (No. 6), with a = 2.7133 Å, b = 2.5530 Å, c = 4.6742 Å, α = 90.00°, β = 106.84° and γ = 90.00°. The inequivalent atoms are Be at (0.0000, 0.0000, 0.0000), C at (0.6555, 0.0000, 0.3067), C at (0.7427, 0.5000, 0.4825) and N at (0.8866, 0.5000, 0.7720).

As for the offset from the most stable computed form: 13 meV per atom.

=====

(2)
First-principles (PBE-GGA) data for an optimized crystal structure of K4CdF5, as listed in the Alexandria database.

It has space group I4 (No. 79), with a = 8.5480 Å, b = 8.5480 Å, c = 5.3844 Å, α = 90.00°, β = 90.00° and γ = 90.00°. The inequivalent atoms are K at (0.1014, 0.2989, 0.0000), Cd at (0.0000, 0.0000, 0.4994), F at (0.0000, 0.0000, 0.0566) and F at (0.0969, 0.2962, 0.4994).

=====

(3)
First-principles (PBE-GGA) data for an optimized crystal structure of Be2MoRu, as listed in the Alexandria database.

It has space group P4/mmm (No. 123), with a = 2.8100 Å, b = 2.8100 Å, c = 5.8165 Å, α = 90.00°, β = 90.00° and γ = 90.00°. The inequivalent atoms are Be at (0.0000, 0.0000, 0.2152), Mo at (0.5000, 0.5000, 0.5000) and Ru at (0.5000, 0.5000, 0.0000).

For the energy relative to the elements, the calculation gives -0.0786 eV/atom. As for the offset from the most stable computed form: 114 meV per atom.

=====

(4)
First-principles (PBE-GGA) data for an optimized crystal structure of SmYEr5Th2, as listed in the Alexandria database.

It has space group I4/mcm (No. 140), with a = 8.7417 Å, b = 8.7417 Å, c = 15.3420 Å, α = 90.00°, β = 90.00° and γ = 90.00°. The inequivalent atoms are Sm at (0.0000, 0.5000, 0.2500), Y at (0.0000, 0.0000, 0.2500), Er at (0.0000, 0.0000, 0.0000), Er at (0.2086, 0.2914, 0.1393) and Th at (0.1193, 0.3807, 0.5000).

For the energy relative to the elements, the calculation gives 0.3345 eV/atom.

=====

(5)
First-principles (PBE-GGA) data for an optimized crystal structure of Th6Te3Rh2Au, as listed in the Alexandria database.

It has space group C2/m (No. 12), with a = 7.3355 Å, b = 12.6847 Å, c = 8.0295 Å, α = 90.00°, β = 107.73° and γ = 90.00°. The inequivalent atoms are Th at (0.2205, 0.0000, 0.2089), Th at (0.2459, 0.3255, 0.2134), Te at (0.0000, 0.0000, 0.5000), Te at (0.0000, 0.3393, 0.5000), Rh at (0.0000, 0.1677, 0.0000) and Au at (0.0000, 0.5000, 0.0000).

=====

(6)
First-principles (PBE-GGA) data for an optimized crystal structure of Cs2K4ZnSn2, as listed in the Alexandria database.

It has space group C2/m (No. 12), with a = 14.6981 Å, b = 8.9643 Å, c = 6.4877 Å, α = 90.00°, β = 102.25° and γ = 90.00°. The inequivalent atoms are Cs at (0.1391, 0.0000, 0.2222), K at (0.1288, 0.2855, 0.7116), Zn at (0.0000, 0.5000, 0.0000) and Sn at (0.1706, 0.5000, 0.2345).

For the energy relative to the elements, the calculation gives -0.0798 eV/atom.

=====

| no. | uncorrected energy (eV per atom) | size of the total moment (μB/cell) |
| --- | --- | --- |
| 1 | -7.472 | 0.0 |
| 2 | -3.865 | 0.0 |
| 3 | -6.968 | 0.0 |
| 4 | -5.092 | 0.0 |
| 5 | -6.952 | 0.0 |
| 6 | -1.788 | 0.3 |